Below is TbYGePt after structural relaxation, with properties calculated at the PBE level. Values from VASP.

Values from the calculation:
Space group = No. 216
Volume = 89.7 Å³/cell
Magnetization = 0.0 μB/f.u.
E_form = -0.938 eV/atom

Quantum ESPRESSO input file:
```
&SYSTEM
  ibrav = 0, nat = 4, ntyp = 4
/
ATOMIC_SPECIES
Tb 158.93 Tb.upf
Y 88.91 Y.upf
Ge 72.64 Ge.upf
Pt 195.08 Pt.upf
CELL_PARAMETERS angstrom
0.000 3.553 3.553
3.553 0.000 3.553
3.553 3.553 0.000
ATOMIC_POSITIONS crystal
Tb 0.000 0.000 0.000
Y 0.500 0.500 0.500
Ge 0.250 0.250 0.250
Pt 0.750 0.750 0.750
```